No. 1
Compound: NdReNi
Source: Alexandria via LeMat-Bulk
Functional: PBE-GGA
Structure: optimized geometry

Cell and atoms, written as CIF:
```
data_NdReNi
_cell_length_a 5.218
_cell_length_b 9.082
_cell_length_c 18.165
_cell_angle_alpha 90.00
_cell_angle_beta 90.00
_cell_angle_gamma 90.00
_space_group_name_H-M_alt 'F d d d'
_space_group_IT_number 70
loop_
_space_group_symop_operation_xyz
'x,y,z'
'-x,-y,-z'
'-x+1/4,-y+1/4,z'
'x+1/4,y+1/4,-z'
'x,-y+1/4,-z+1/4'
'-x,y+1/4,z+1/4'
'-x+1/4,y,-z+1/4'
'x+1/4,-y,z+1/4'
'x,y+1/2,z+1/2'
'-x,-y+1/2,-z+1/2'
'-x+1/4,-y+3/4,z+1/2'
'x+1/4,y+3/4,-z+1/2'
'x,-y+3/4,-z+3/4'
'-x,y+3/4,z+3/4'
'-x+1/4,y+1/2,-z+3/4'
'x+1/4,-y+1/2,z+3/4'
'x+1/2,y,z+1/2'
'-x+1/2,-y,-z+1/2'
'-x+3/4,-y+1/4,z+1/2'
'x+3/4,y+1/4,-z+1/2'
'x+1/2,-y+1/4,-z+3/4'
'-x+1/2,y+1/4,z+3/4'
'-x+3/4,y,-z+3/4'
'x+3/4,-y,z+3/4'
'x+1/2,y+1/2,z'
'-x+1/2,-y+1/2,-z'
'-x+3/4,-y+3/4,z'
'x+3/4,y+3/4,-z'
'x+1/2,-y+3/4,-z+1/4'
'-x+1/2,y+3/4,z+1/4'
'-x+3/4,y+1/2,-z+1/4'
'x+3/4,-y+1/2,z+1/4'
loop_
_atom_site_label
_atom_site_type_symbol
_atom_site_fract_x
_atom_site_fract_y
_atom_site_fract_z
_atom_site_occupancy
Nd1 Nd 0.125 0.295 0.125 1
Re1 Re 0.125 0.125 0.557 1
Ni1 Ni 0.125 0.125 0.001 1
```


No. 2
Compound: Nd4Ni2Rh
Source: Alexandria via LeMat-Bulk
Functional: PBE-GGA
Structure: optimized geometry

Cell and atoms, written as CIF:
```
data_Nd4Ni2Rh
_cell_length_a 8.939
_cell_length_b 8.940
_cell_length_c 9.122
_cell_angle_alpha 90.00
_cell_angle_beta 90.00
_cell_angle_gamma 90.00
_space_group_name_H-M_alt 'I m m a'
_space_group_IT_number 74
_space_group_name_Hall '-I 2b 2'
loop_
_atom_site_label
_atom_site_type_symbol
_atom_site_fract_x
_atom_site_fract_y
_atom_site_fract_z
_atom_site_occupancy
Nd1 Nd 0.000 0.055 0.199 1
Nd2 Nd 0.195 0.250 0.551 1
Ni1 Ni 0.000 0.000 0.500 1
Ni2 Ni 0.250 0.250 0.250 1
Rh1 Rh 0.000 0.250 0.875 1
```


No. 3
# Nd8NiRh2 PBE-GGA optimized geometry
# energy relative to the lowest polymorph listed for this composition: 0.000 eV/atom
data_Nd8NiRh2
_cell_length_a 8.668
_cell_length_b 12.396
_cell_length_c 6.472
_cell_angle_alpha 90.00
_cell_angle_beta 110.63
_cell_angle_gamma 90.00
_space_group_name_H-M_alt 'C 1 m 1'
_space_group_IT_number 8
loop_
_space_group_symop_operation_xyz
'x,y,z'
'x,-y,z'
'x+1/2,y+1/2,z'
'x+1/2,-y+1/2,z'
loop_
_atom_site_label
_atom_site_type_symbol
_atom_site_fract_x
_atom_site_fract_y
_atom_site_fract_z
_atom_site_occupancy
Nd1 Nd 0.000 0.000 0.000 1
Nd2 Nd 0.075 0.364 0.839 1
Nd3 Nd 0.143 0.135 0.582 1
Nd4 Nd 0.219 0.500 0.400 1
Nd5 Nd 0.363 0.188 0.207 1
Ni1 Ni 0.352 0.000 0.975 1
Rh1 Rh 0.356 0.315 0.699 1


No. 4
Compound: Nd5Ni2Rh
Source: Alexandria via LeMat-Bulk
Functional: PBE-GGA
Structure: optimized geometry

Cell and atoms, written as CIF:
```
data_Nd5Ni2Rh
_cell_length_a 7.315
_cell_length_b 7.315
_cell_length_c 14.955
_cell_angle_alpha 90.00
_cell_angle_beta 90.00
_cell_angle_gamma 90.00
_space_group_name_H-M_alt 'I 4/m c m'
_space_group_IT_number 140
_space_group_name_Hall '-I 4 2c'
loop_
_atom_site_label
_atom_site_type_symbol
_atom_site_fract_x
_atom_site_fract_y
_atom_site_fract_z
_atom_site_occupancy
Nd1 Nd 0.000 0.000 0.000 1
Nd2 Nd 0.172 0.328 0.144 1
Ni1 Ni 0.119 0.381 0.500 1
Rh1 Rh 0.000 0.000 0.250 1
```


No. 5
Compound: Nd12Ni6Rh
Source: Alexandria via LeMat-Bulk
Functional: PBE-GGA
Structure: optimized geometry

Cell and atoms, written as CIF:
```
data_Nd12Ni6Rh
_cell_length_a 12.4022
_cell_length_b 12.4022
_cell_length_c 12.1485
_cell_angle_alpha 90.00
_cell_angle_beta 90.00
_cell_angle_gamma 120.00
_space_group_name_H-M_alt 'R -3'
_space_group_IT_number 148
_space_group_name_Hall '-R 3'
loop_
_atom_site_label
_atom_site_type_symbol
_atom_site_fract_x
_atom_site_fract_y
_atom_site_fract_z
_atom_site_occupancy
Nd1 Nd 0.0211 0.8154 0.3895 1
Nd2 Nd 0.0285 0.8252 0.8796 1
Ni1 Ni 0.0391 0.7770 0.6502 1
Rh1 Rh 0.0000 0.0000 0.0000 1
```


No. 6
Compound: Nd6Ni2Rh
Source: Alexandria via LeMat-Bulk
Functional: PBE-GGA
Structure: optimized geometry

Cell and atoms, written as CIF:
```
data_Nd6Ni2Rh
_cell_length_a 9.710
_cell_length_b 9.832
_cell_length_c 9.923
_cell_angle_alpha 90.00
_cell_angle_beta 90.00
_cell_angle_gamma 90.00
_space_group_name_H-M_alt 'I m m m'
_space_group_IT_number 71
_space_group_name_Hall '-I 2 2'
loop_
_atom_site_label
_atom_site_type_symbol
_atom_site_fract_x
_atom_site_fract_y
_atom_site_fract_z
_atom_site_occupancy
Nd1 Nd 0.000 0.241 0.180 1
Nd2 Nd 0.184 0.331 0.500 1
Nd3 Nd 0.236 0.000 0.328 1
Ni1 Ni 0.000 0.118 0.500 1
Ni2 Ni 0.000 0.500 0.321 1
Rh1 Rh 0.000 0.000 0.000 1
Rh2 Rh 0.000 0.500 0.000 1
```


no.,formation energy (eV per atom),N(E_F) (states/eV/f.u.)
1,0.2369,3.41
2,-0.2933,4.86
3,-0.2408,9.87
4,-0.3165,9.45
5,-0.1626,21.15
6,-0.2886,7.71